# 1
A plane-wave DFT calculation with PBE-GGA was carried out for Ca2IrPb after structural relaxation.

```
Ca2IrPb
1.0
4.531 0.000 0.000
0.000 4.316 -0.008
0.000 2.170 5.548
Pb Ir Ca
1 1 2
Direct
0.500 0.559 0.756
0.000 0.696 0.482
0.500 0.268 0.340
0.000 0.977 0.922
```

Values from the calculation:
Its space group is Amm2, No. 38.



# 2
A plane-wave DFT calculation with PBE-GGA was carried out for Ta2FeRh after structural relaxation.

```
Ta2FeRh
1.0
-4.138 -3.142 -2.088
3.055 -0.973 -4.591
1.655 -6.556 -0.924
Rh Ta Fe
2 4 2
Direct
0.750 0.250 0.500
0.000 0.000 0.000
0.375 0.399 0.750
0.149 0.625 0.250
0.875 0.851 0.750
0.601 0.125 0.250
0.250 0.750 0.500
0.500 0.500 0.000
```

Values from the calculation:
Its space group is I-42d, No. 122.



# 3
A plane-wave DFT calculation with PBE-GGA was carried out for NaSr2Li10 after structural relaxation.

```
NaSr2Li10
1.0
-3.415 4.923 0.686
-5.863 -4.534 3.351
6.158 2.332 13.929
Li Sr Na
20 4 2
Direct
0.257 0.780 0.827
0.000 0.050 0.333
0.257 0.220 0.173
0.000 0.156 0.521
0.000 0.550 0.167
0.257 0.720 0.327
0.000 0.392 0.320
0.000 0.450 0.833
0.000 0.344 0.021
0.000 0.608 0.680
0.000 0.950 0.667
0.000 0.108 0.820
0.257 0.280 0.673
0.743 0.220 0.173
0.000 0.892 0.180
0.743 0.280 0.673
0.743 0.780 0.827
0.000 0.656 0.979
0.000 0.844 0.479
0.743 0.720 0.327
0.500 0.710 0.090
0.500 0.790 0.590
0.500 0.290 0.910
0.500 0.210 0.410
0.000 0.000 0.000
0.000 0.500 0.500
```

Values from the calculation:
Its space group is Pbam, No. 55.



# 4
A plane-wave DFT calculation with PBE-GGA was carried out for PmHo2UN4 after structural relaxation.

```
PmHo2UN4
1.0
3.481 0.000 0.000
0.000 6.045 0.135
0.000 -2.085 5.631
Ho N Pm U
2 4 1 1
Direct
0.000 0.500 0.500
0.500 0.000 0.500
0.000 0.226 0.756
0.500 0.764 0.754
0.000 0.774 0.244
0.500 0.236 0.246
0.500 0.500 0.000
0.000 0.000 0.000
```

Values from the calculation:
Its space group is P2/m, No. 10. The calculation puts the formation energy without anion corrections at -1562 meV per atom.



# 5
A plane-wave DFT calculation with PBE-GGA was carried out for TbYAlPt after structural relaxation.

```
TbYAlPt
1.0
-1.802 2.944 -1.748
-1.149 -2.672 -3.317
-3.768 -2.755 3.525
Al Y Pt Tb
1 1 1 1
Direct
0.431 0.000 0.862
0.145 0.000 0.289
0.571 0.500 0.142
0.853 0.500 0.706
```

Values from the calculation:
Its space group is Amm2, No. 38. For the offset from the most stable computed form, the calculation gives 0 meV per atom.



# 6
A plane-wave DFT calculation with PBE-GGA was carried out for SrZn2Br6 after structural relaxation.

```
SrZn2Br6
1.0
4.154 0.000 0.000
-2.077 6.896 -0.655
0.000 -0.111 11.409
Br Sr Zn
6 1 2
Direct
0.149 0.299 0.125
0.114 0.228 0.744
0.641 0.281 0.421
0.851 0.701 0.875
0.359 0.719 0.579
0.886 0.772 0.256
0.000 0.000 0.500
0.713 0.425 0.226
0.287 0.575 0.774
```

Values from the calculation:
Its space group is C2/m, No. 12. For the offset from the most stable computed form, the calculation gives 25 meV per atom. The calculation puts the formation energy without anion corrections at -1242 meV per atom.



# 7
A plane-wave DFT calculation with PBE-GGA was carried out for LiP2Pd after structural relaxation.

```
LiP2Pd
1.0
0.000 3.073 3.073
3.073 0.000 3.073
3.073 3.073 0.000
P Li Pd
2 1 1
Direct
0.250 0.250 0.250
0.750 0.750 0.750
0.000 0.000 0.000
0.500 0.500 0.500
```

Values from the calculation:
Its space group is Fm-3m, No. 225. For the offset from the most stable computed form, the calculation gives 19 meV per atom.



# 8
A plane-wave DFT calculation with PBE-GGA was carried out for Rb3CdO2 after structural relaxation.

```
Rb3CdO2
1.0
-4.648 2.157 4.250
3.784 -2.839 4.685
3.876 6.618 0.880
Rb O Cd
6 4 2
Direct
0.790 0.790 0.750
0.306 0.694 0.000
0.694 0.306 0.000
0.210 0.210 0.250
0.306 0.694 0.500
0.694 0.306 0.500
0.000 0.000 0.000
0.000 0.000 0.500
0.411 0.411 0.750
0.589 0.589 0.250
0.833 0.833 0.250
0.167 0.167 0.750
```

Values from the calculation:
Its space group is Cmcm, No. 63. For the offset from the most stable computed form, the calculation gives 0 meV per atom. The calculation puts the formation energy without anion corrections at -814 meV per atom.



# 9
A plane-wave DFT calculation with PBE-GGA was carried out for MgTcGeCl2 after structural relaxation.

```
MgTcGeCl2
1.0
-2.536 -3.465 -2.639
-1.940 -1.964 4.443
-3.934 3.133 -0.333
Tc Cl Ge Mg
1 2 1 1
Direct
0.000 0.500 0.000
0.500 0.000 0.000
0.000 0.000 0.500
0.000 0.000 0.000
0.500 0.500 0.500
```

Values from the calculation:
Its space group is P4/mmm, No. 123. The calculation puts the formation energy without anion corrections at 510 meV per atom.



# 10
A plane-wave DFT calculation with PBE-GGA was carried out for Mn3FePd after structural relaxation.

```
Mn3FePd
1.0
4.123 0.000 0.000
0.000 4.123 0.000
0.000 0.000 4.123
Mn Fe Pd
3 1 1
Direct
0.000 0.000 0.500
0.000 0.500 0.000
0.500 0.000 0.000
0.000 0.000 0.000
0.500 0.500 0.500
```

Values from the calculation:
Its space group is Pm-3m, No. 221. For the offset from the most stable computed form, the calculation gives 0 meV per atom.



# 11
A plane-wave DFT calculation with PBE-GGA was carried out for Pm8NiP3Br4 after structural relaxation.

```
Pm8NiP3Br4
1.0
8.283 0.000 0.000
0.000 8.682 0.280
-4.142 -4.140 5.858
Pm P Br Ni
8 3 4 1
Direct
0.266 0.297 0.531
0.229 0.702 0.458
0.771 0.298 0.027
0.771 0.298 0.542
0.256 0.298 0.027
0.744 0.702 0.973
0.229 0.702 0.973
0.734 0.703 0.469
0.500 0.500 0.500
0.000 0.500 0.500
0.500 0.500 0.000
0.000 0.000 0.000
0.000 0.000 0.500
0.500 0.000 0.500
0.500 0.000 0.000
0.000 0.500 0.000
```

Values from the calculation:
Its space group is R-3m, No. 166. The calculation puts the formation energy without anion corrections at -1303 meV per atom.



# 12
A plane-wave DFT calculation with PBE-GGA was carried out for CdAgC3 after structural relaxation.

```
CdAgC3
1.0
-0.347 -2.479 -3.517
4.028 -1.428 0.608
-1.512 -3.233 2.428
C Ag Cd
3 1 1
Direct
0.000 0.500 0.000
0.500 0.000 0.000
0.000 0.000 0.500
0.500 0.500 0.500
0.000 0.000 0.000
```

Values from the calculation:
Its space group is Pm-3m, No. 221. For the offset from the most stable computed form, the calculation gives 267 meV per atom.



# 13
A plane-wave DFT calculation with PBE-GGA was carried out for KBe2RuW after structural relaxation.

```
KBe2RuW
1.0
-2.221 -2.846 2.030
-1.007 -2.051 -3.979
3.375 -2.372 0.368
Be W K Ru
2 1 1 1
Direct
0.500 0.000 0.000
0.000 0.000 0.500
0.000 0.500 0.000
0.000 0.000 0.000
0.500 0.500 0.500
```

Values from the calculation:
Its space group is P4/mmm, No. 123.



# 14
A plane-wave DFT calculation with PBE-GGA was carried out for Rb2ScH4 after structural relaxation.

```
Rb2ScH4
1.0
-1.374 3.931 0.087
-0.478 -0.075 -4.137
-7.789 -0.489 -1.189
H Rb Sc
4 2 1
Direct
0.500 0.000 0.000
0.141 0.141 0.717
0.859 0.859 0.283
0.000 0.500 0.000
0.348 0.348 0.305
0.652 0.652 0.695
0.000 0.000 0.000
```

Values from the calculation:
Its space group is I4/mmm, No. 139.



# 15
A plane-wave DFT calculation with PBE-GGA was carried out for Li3Ta after structural relaxation.

```
Li3Ta
1.0
-4.842 -1.859 2.376
4.519 -3.480 0.110
0.976 5.621 0.010
Ta Li
1 3
Direct
0.500 0.500 0.000
0.500 0.000 0.500
0.000 0.500 0.500
0.000 0.000 0.000
```

Values from the calculation:
Its space group is R-3m, No. 166. For the offset from the most stable computed form, the calculation gives 262 meV per atom.



# 16
A plane-wave DFT calculation with PBE-GGA was carried out for MgTiAl after structural relaxation.

```
MgTiAl
1.0
-0.109 -1.683 2.448
-0.789 -3.689 -2.570
4.286 1.200 1.015
Ti Mg Al
1 1 1
Direct
0.334 0.333 0.667
0.837 0.000 0.000
0.829 0.667 0.333
```

Values from the calculation:
Its space group is P3m1, No. 156.



# 17
A plane-wave DFT calculation with PBE-GGA was carried out for ZrReAs2 after structural relaxation.

```
ZrReAs2
1.0
-1.612 2.461 -3.737
-1.155 -2.664 -1.256
-4.716 -0.634 1.617
Zr As Re
1 2 1
Direct
0.500 0.682 0.755
0.500 0.415 0.301
0.000 0.065 0.997
0.000 0.339 0.447
```

Values from the calculation:
Its space group is Pm, No. 6. For the offset from the most stable computed form, the calculation gives 224 meV per atom.



# 18
A plane-wave DFT calculation with PBE-GGA was carried out for ZrNp3 after structural relaxation.

```
ZrNp3
1.0
-3.272 -0.715 -4.446
-0.161 -5.273 -1.777
-0.669 2.445 4.956
Np Zr
3 1
Direct
0.750 0.250 0.500
0.250 0.750 0.500
0.500 0.500 0.000
0.000 0.000 0.000
```

Values from the calculation:
Its space group is I4/mmm, No. 139.



# 19
A plane-wave DFT calculation with PBE-GGA was carried out for Zr6MoPd after structural relaxation.

```
Zr6MoPd
1.0
0.565 1.970 4.258
4.011 -2.428 0.591
6.144 5.384 -0.688
Zr Mo Pd
6 1 1
Direct
0.611 0.111 0.779
0.256 0.256 0.489
0.744 0.744 0.511
0.389 0.889 0.221
0.111 0.611 0.779
0.889 0.389 0.221
0.500 0.500 0.000
0.000 0.000 0.000
```

Values from the calculation:
Its space group is I4/mmm, No. 139.



# 20
A plane-wave DFT calculation with PBE-GGA was carried out for Ho3ScN after structural relaxation.

```
Ho3ScN
1.0
-0.797 4.043 -2.586
-4.799 -0.644 0.473
0.051 2.629 4.094
Ho N Sc
3 1 1
Direct
0.000 0.000 0.500
0.000 0.500 0.000
0.500 0.000 0.000
0.000 0.000 0.000
0.500 0.500 0.500
```

Values from the calculation:
Its space group is Pm-3m, No. 221. The calculation puts the formation energy without anion corrections at -573 meV per atom.



# 21
A plane-wave DFT calculation with PBE-GGA was carried out for CuSi2Ni after structural relaxation.

```
CuSi2Ni
1.0
-2.869 -6.652 2.812
-0.652 -7.592 1.524
-0.442 -6.609 4.064
Si Cu Ni
2 1 1
Direct
0.004 0.004 0.004
0.496 0.496 0.496
0.250 0.250 0.250
0.750 0.750 0.750
```

Values from the calculation:
Its space group is R-3m, No. 166. The calculation puts the formation energy without anion corrections at -157 meV per atom.



# 22
A plane-wave DFT calculation with PBE-GGA was carried out for Cs2BeGeO4 after structural relaxation.

```
Cs2BeGeO4
1.0
-2.718 -3.250 2.074
1.516 -0.629 6.366
-8.834 6.257 3.596
O Ge Be Cs
8 2 2 4
Direct
0.521 0.350 0.580
0.451 0.650 0.420
0.229 0.150 0.920
0.621 0.150 0.080
0.899 0.650 0.580
0.851 0.850 0.920
0.299 0.850 0.080
0.129 0.350 0.420
0.000 0.000 0.000
0.750 0.500 0.500
0.250 0.500 0.500
0.500 0.000 0.000
0.923 0.500 0.153
0.577 0.500 0.847
0.173 0.000 0.653
0.827 0.000 0.347
```

Values from the calculation:
Its space group is Fddd, No. 70. The calculation puts the formation energy without anion corrections at -1924 meV per atom.



# 23
A plane-wave DFT calculation with PBE-GGA was carried out for Tm2TcBi after structural relaxation.

```
Tm2TcBi
1.0
3.391 0.000 0.000
0.000 3.391 0.000
0.000 0.000 8.556
Tc Bi Tm
1 1 2
Direct
0.500 0.500 0.000
0.500 0.500 0.500
0.000 0.000 0.806
0.000 0.000 0.194
```

Values from the calculation:
Its space group is P4/mmm, No. 123.



# 24
A plane-wave DFT calculation with PBE-GGA was carried out for CaCS after structural relaxation.

```
CaCS
1.0
4.086 0.001 0.001
2.026 3.550 0.001
1.738 0.975 8.836
S C Ca
2 2 2
Direct
0.814 0.923 0.478
0.244 0.347 0.128
0.325 0.433 0.941
0.387 0.501 0.800
0.087 0.199 0.681
0.527 0.633 0.308
```

Values from the calculation:
Its space group is P1, No. 1. For the offset from the most stable computed form, the calculation gives 0 meV per atom. The calculation puts the formation energy without anion corrections at -833 meV per atom.



# 25
A plane-wave DFT calculation with PBE-GGA was carried out for SrMoAu2Br after structural relaxation.

```
SrMoAu2Br
1.0
-5.233 1.920 -0.350
-0.092 -1.574 -7.258
-1.950 -5.109 1.133
Sr Br Au Mo
1 1 2 1
Direct
0.000 0.000 0.000
0.500 0.500 0.500
0.500 0.000 0.000
0.000 0.000 0.500
0.000 0.500 0.000
```

Values from the calculation:
Its space group is P4/mmm, No. 123. The calculation puts the formation energy without anion corrections at 1234 meV per atom.



no.,E (eV per atom),N(E_F) (states/eV per atom),size of the total moment (μB/cell)
1,-4.41,0.598,0.000
2,-8.79,1.234,0.000
3,-1.71,0.554,0.000
4,-8.87,0.554,1.478
5,-6.05,0.879,0.000
6,-2.83,0.000,0.000
7,-4.64,0.310,0.000
8,-3.10,0.148,0.000
9,-3.54,0.707,3.282
10,-7.06,2.151,0.000
11,-5.47,0.517,0.000
12,-2.94,0.607,0.000
13,-3.06,1.273,0.000
14,-3.33,0.472,0.241
15,-3.93,0.802,1.387
16,-4.46,0.648,0.000
17,-7.75,0.657,0.000
18,-11.27,3.236,9.322
19,-8.57,1.392,0.000
20,-6.25,1.246,0.010
21,-5.34,0.290,0.000
22,-5.66,0.000,0.000
23,-6.12,0.744,0.000
24,-5.95,0.000,0.000
25,-2.91,0.275,5.011